Compound: Pr2DyHg2
Source: Alexandria via LeMat-Bulk
Functional: PBE
Structure: relaxed

For the magnetic moment, the calculation gives 0.4 μB per formula unit. For the energy relative to the lowest polymorph listed for this composition, the calculation gives 0 meV per atom. The value obtained for the raw total energy is -3.32 eV/atom. The calculation puts the density of states at the Fermi level at 10.96 states/eV/cell. The crystal system is monoclinic. The formation energy is -0.3640 eV per atom.

abc: 3.7971 5.3943 14.3435
angles: 90.00 97.58 90.00
Last column: nearest neighbours and their distance in Å.
Fractional coordinates of all 10 atoms:
Pr: 0.0457 0.2500 0.0886  8 Hg 3.32-3.45, 2 Pr 3.69
Pr: 0.2324 0.2500 0.4673  2 Hg 3.26-3.27, 4 Pr 3.42-3.43
Pr: 0.7676 0.7500 0.5327  2 Hg 3.26-3.27, 4 Pr 3.42-3.43
Pr: 0.9543 0.7500 0.9114  8 Hg 3.32-3.45, 2 Pr 3.69
Dy: 0.1476 0.7500 0.2928  6 Hg 3.18-3.31
Dy: 0.8524 0.2500 0.7072  6 Hg 3.18-3.31
Hg: 0.3601 0.7500 0.7197  4 Pr 3.26-3.33, 4 Dy 3.30-3.31, 2 Hg 3.59
Hg: 0.4421 0.2500 0.8868  2 Dy 3.18, 6 Pr 3.32-3.45
Hg: 0.5579 0.7500 0.1132  2 Dy 3.18, 6 Pr 3.32-3.45
Hg: 0.6399 0.2500 0.2803  4 Pr 3.26-3.33, 4 Dy 3.30-3.31, 2 Hg 3.59